The following is a GGA-PBE calculation of Sm2CdNi12P3 after structural relaxation, from Alexandria.

Results
Electronic total energy in eV/atom: -5.409
DOS(E_F) in states/eV/cell: 16.6
V in A^3/atom: 14.1

The structure in POSCAR format:
```
Sm2CdNi12P3
1.0
-5.544 1.630 2.616
-3.464 -2.438 -4.722
-0.809 -5.597 2.874
Sm Cd Ni P
2 1 12 3
direct
0.662 0.662 0.662 Sm
0.338 0.338 0.338 Sm
0.000 0.000 0.000 Cd
0.380 0.380 0.892 Ni
0.818 0.818 0.316 Ni
0.316 0.818 0.818 Ni
0.892 0.380 0.380 Ni
0.818 0.316 0.818 Ni
0.380 0.892 0.380 Ni
0.620 0.620 0.108 Ni
0.182 0.182 0.684 Ni
0.684 0.182 0.182 Ni
0.108 0.620 0.620 Ni
0.182 0.684 0.182 Ni
0.620 0.108 0.620 Ni
0.500 0.000 0.000 P
0.000 0.500 0.000 P
0.000 0.000 0.500 P
```

The following is a GGA-PBE calculation of Sr2CdNiP after structural relaxation, from Alexandria.

Results
Electronic total energy in eV/atom: -3.540
DOS(E_F) in states/eV/cell: 4.2
V in A^3/atom: 29.4

The structure in POSCAR format:
```
Sr2CdNiP
1.0
-1.131 -4.263 3.947
2.124 -4.046 -3.762
3.828 0.494 1.630
Sr Ni P Cd
2 1 1 1
direct
0.000 0.500 0.000 Sr
0.500 0.000 0.000 Sr
0.000 0.000 0.500 Ni
0.000 0.000 0.000 P
0.500 0.500 0.500 Cd
```

The following is a GGA-PBE calculation of SrCdNiP after structural relaxation, from Alexandria.

Results
Electronic total energy in eV/atom: -4.039
DOS(E_F) in states/eV/cell: 3.8
V in A^3/atom: 22.8

The structure in POSCAR format:
```
SrCdNiP
1.0
4.006 0.000 0.000
0.000 4.006 0.000
0.000 0.000 11.359
Sr Cd Ni P
2 2 2 2
direct
0.750 0.750 0.220 Sr
0.250 0.250 0.780 Sr
0.250 0.750 0.500 Cd
0.750 0.250 0.500 Cd
0.750 0.250 0.000 Ni
0.250 0.750 0.000 Ni
0.750 0.750 0.902 P
0.250 0.250 0.098 P
```

The following is a GGA-PBE calculation of Tb2CdNi12P3 after structural relaxation, from Alexandria.

Results
Electronic total energy in eV/atom: -5.435
DOS(E_F) in states/eV/cell: 16.1
V in A^3/atom: 13.8

The structure in POSCAR format:
```
Tb2CdNi12P3
1.0
-2.807 -5.476 -1.395
3.074 -3.248 4.452
-4.552 0.697 4.313
Tb Cd Ni P
2 1 12 3
direct
0.659 0.659 0.659 Tb
0.341 0.341 0.341 Tb
0.000 0.000 0.000 Cd
0.381 0.381 0.894 Ni
0.817 0.817 0.318 Ni
0.318 0.817 0.817 Ni
0.894 0.381 0.381 Ni
0.817 0.318 0.817 Ni
0.381 0.894 0.381 Ni
0.619 0.619 0.106 Ni
0.183 0.183 0.682 Ni
0.682 0.183 0.183 Ni
0.106 0.619 0.619 Ni
0.183 0.682 0.183 Ni
0.619 0.106 0.619 Ni
0.500 0.000 0.000 P
0.000 0.500 0.000 P
0.000 0.000 0.500 P
```

The following is a GGA-PBE calculation of CdNiTeP2 after structural relaxation, from Alexandria.

Results
Raw formation energy in eV per atom: 1.476
Electronic total energy in eV/atom: -2.655
DOS(E_F) in states/eV/cell: 7.1
V in A^3/atom: 26.9

The structure in POSCAR format:
```
CdNiTeP2
1.0
-0.228 3.399 -3.435
-5.529 -1.283 -0.902
-1.300 3.269 3.321
Ni Te P Cd
1 1 2 1
direct
0.500 0.500 0.500 Ni
0.000 0.500 0.000 Te
0.000 0.000 0.500 P
0.500 0.000 0.000 P
0.000 0.000 0.000 Cd
```

The following is a GGA-PBE calculation of Tm2CdNi12P3 after structural relaxation, from Alexandria.

Results
Electronic total energy in eV/atom: -5.449
DOS(E_F) in states/eV/cell: 14.6
V in A^3/atom: 13.6

The structure in POSCAR format:
```
Tm2CdNi12P3
1.0
6.034 -1.413 -1.002
1.751 5.945 -1.002
1.751 1.019 5.942
Tm Cd Ni P
2 1 12 3
direct
0.650 0.650 0.650 Tm
0.350 0.350 0.350 Tm
0.000 0.000 0.000 Cd
0.379 0.379 0.899 Ni
0.817 0.817 0.321 Ni
0.321 0.817 0.817 Ni
0.899 0.379 0.379 Ni
0.817 0.321 0.817 Ni
0.379 0.899 0.379 Ni
0.621 0.621 0.101 Ni
0.183 0.183 0.679 Ni
0.679 0.183 0.183 Ni
0.101 0.621 0.621 Ni
0.183 0.679 0.183 Ni
0.621 0.101 0.621 Ni
0.500 0.000 0.000 P
0.000 0.500 0.000 P
0.000 0.000 0.500 P
```

The following is a GGA-PBE calculation of VCd2NiP after structural relaxation, from Alexandria.

Results
Electronic total energy in eV/atom: -3.479
DOS(E_F) in states/eV/cell: 6.3
V in A^3/atom: 23.4

The structure in POSCAR format:
```
VCd2NiP
1.0
5.160 0.000 0.000
0.000 4.395 0.000
0.000 0.000 5.160
Ni V P Cd
1 1 1 2
direct
0.500 0.500 0.500 Ni
0.000 0.000 0.000 V
0.000 0.500 0.000 P
0.000 0.000 0.500 Cd
0.500 0.000 0.000 Cd
```

The following is a GGA-PBE calculation of ZrCdNiP2 after structural relaxation, from Alexandria.

Results
Electronic total energy in eV/atom: -4.303
DOS(E_F) in states/eV/cell: 10.7
V in A^3/atom: 27.3

The structure in POSCAR format:
```
ZrCdNiP2
1.0
4.948 0.000 0.000
0.000 5.575 0.000
0.000 0.000 4.948
Ni P Zr Cd
1 2 1 1
direct
0.500 0.500 0.500 Ni
0.000 0.000 0.500 P
0.500 0.000 0.000 P
0.000 0.000 0.000 Zr
0.000 0.500 0.000 Cd
```

The following is a GGA-PBE calculation of PaCdNi after structural relaxation, from Alexandria.

Results
Electronic total energy in eV/atom: -5.534
DOS(E_F) in states/eV/cell: 2.0
V in A^3/atom: 19.4

The structure in POSCAR format:
```
PaCdNi
1.0
3.128 0.000 0.000
0.000 3.128 0.000
-1.564 -1.564 5.960
Ni Pa Cd
1 1 1
direct
0.670 0.670 0.340 Ni
0.307 0.307 0.615 Pa
0.023 0.023 0.045 Cd
```

The following is a GGA-PBE calculation of Pa3CdNi8 after structural relaxation, from Alexandria.

Results
Electronic total energy in eV/atom: -6.668
DOS(E_F) in states/eV/cell: 12.5
V in A^3/atom: 14.9

The structure in POSCAR format:
```
Pa3CdNi8
1.0
-1.894 1.312 -4.441
2.500 -1.067 -4.200
-3.687 -7.149 -3.358
Pa Cd Ni
3 1 8
direct
0.375 0.375 0.875 Pa
0.999 0.999 0.003 Pa
0.501 0.501 0.498 Pa
0.875 0.875 0.376 Cd
0.939 0.436 0.188 Ni
0.440 0.937 0.686 Ni
0.436 0.436 0.188 Ni
0.937 0.937 0.686 Ni
0.188 0.188 0.437 Ni
0.688 0.688 0.937 Ni
0.436 0.939 0.188 Ni
0.937 0.440 0.686 Ni
```

The following is a GGA-PBE calculation of PaCdNi after structural relaxation, from Alexandria.

Results
Electronic total energy in eV/atom: -5.409
DOS(E_F) in states/eV/cell: 6.8
V in A^3/atom: 19.5

The structure in POSCAR format:
```
PaCdNi
1.0
-0.273 -1.648 -4.001
-0.143 -4.296 -0.570
-7.325 -1.797 -1.109
Ni Cd Pa
2 2 2
direct
0.070 0.070 0.789 Ni
0.930 0.930 0.211 Ni
0.636 0.636 0.091 Cd
0.364 0.364 0.909 Cd
0.202 0.202 0.395 Pa
0.798 0.798 0.605 Pa
```

The following is a GGA-PBE calculation of PaCdNi2 after structural relaxation, from Alexandria.

Results
Electronic total energy in eV/atom: -5.648
DOS(E_F) in states/eV/cell: 3.2
V in A^3/atom: 16.9

The structure in POSCAR format:
```
PaCdNi2
1.0
3.105 0.000 0.000
0.000 3.105 0.000
0.000 0.000 7.018
Ni Pa Cd
2 1 1
direct
0.000 0.000 0.741 Ni
0.000 0.000 0.259 Ni
0.500 0.500 0.000 Pa
0.500 0.500 0.500 Cd
```

The following is a GGA-PBE calculation of PaCd2Ni after structural relaxation, from Alexandria.

Results
Electronic total energy in eV/atom: -3.924
DOS(E_F) in states/eV/cell: 6.1
V in A^3/atom: 21.0

The structure in POSCAR format:
```
PaCd2Ni
1.0
2.984 0.000 0.000
1.492 2.584 0.000
1.492 0.861 10.904
Ni Pa Cd
1 1 2
direct
0.500 0.500 0.500 Ni
0.000 0.000 0.000 Pa
0.102 0.102 0.693 Cd
0.898 0.898 0.307 Cd
```